Entry 1:
Compound: RbNa2Cd2F7
Source: Alexandria via LeMat-Bulk
Functional: PBE
Structure: relaxed

a b c (Å): 4.547 19.061 4.548
angles (deg): 90.00 90.00 90.00
Space group Imm2 (No. 44)
Asymmetric unit:
Rb 0.000 0.000 0.000 [2 per cell]
Na 0.000 0.250 0.499 [4 per cell]
Cd 0.000 0.384 0.000 [4 per cell]
F 0.000 0.120 0.499 [4 per cell]
F 0.000 0.265 0.000 [4 per cell]
F 0.000 0.380 0.500 [4 per cell]
F 0.000 0.500 0.997 [2 per cell]

Output
Total magnetic moment   0.0 μB/f.u.
E   -4.02 eV/atom
Crystal system   orthorhombic

Entry 2:
Compound: RbNaCdF4
Source: Alexandria via LeMat-Bulk
Functional: PBE
Structure: relaxed

a b c (Å): 4.466 4.466 13.155
angles (deg): 90.00 90.00 90.00
Space group I4mm (No. 107)
Asymmetric unit:
Rb 0.000 0.000 0.000 [2 per cell]
Na 0.000 0.000 0.708 [2 per cell]
Cd 0.000 0.000 0.360 [2 per cell]
F 0.000 0.000 0.193 [2 per cell]
F 0.000 0.000 0.533 [2 per cell]
F 0.000 0.500 0.349 [4 per cell]

Output
Total magnetic moment   0.0 μB/f.u.
E   -3.95 eV/atom
Crystal system   tetragonal

Entry 3:
Compound: Rb3Na2CdF9
Source: Alexandria via LeMat-Bulk
Functional: PBE
Structure: relaxed

a b c (Å): 6.2591 6.2591 7.8226
angles (deg): 90.00 90.00 120.00
Space group P-3m1 (No. 164)
Asymmetric unit:
Rb 0.0000 0.0000 0.0000 [1 per cell]
Rb 0.3333 0.6667 0.6869 [2 per cell]
Na 0.3333 0.6667 0.1721 [2 per cell]
Cd 0.0000 0.0000 0.5000 [1 per cell]
F 0.0000 0.5000 0.0000 [3 per cell]
F 0.1611 0.3222 0.3402 [6 per cell]

Output
Total magnetic moment   2.0 μB/f.u.
E   -3.83 eV/atom
Crystal system   trigonal